Compound: Pm12Tl3Ga
Source: Alexandria via LeMat-Bulk
Functional: PBE-GGA
Structure: optimized geometry

Structure (extended XYZ):
```
16
Lattice="4.927 0.000 0.000 0.000 4.927 0.000 0.000 0.000 19.735" Properties=species:S:1:pos:R:3 pbc="T T T"
Pm 0.000 0.000 0.000
Pm 0.000 0.000 4.857
Pm 0.000 0.000 9.867
Pm 0.000 0.000 14.878
Pm 0.000 2.464 2.350
Pm 0.000 2.464 7.370
Pm 0.000 2.464 12.365
Pm 0.000 2.464 17.385
Pm 2.464 0.000 2.350
Pm 2.464 0.000 7.370
Pm 2.464 0.000 12.365
Pm 2.464 0.000 17.385
Tl 2.464 2.464 4.880
Tl 2.464 2.464 9.867
Tl 2.464 2.464 14.854
Ga 2.464 2.464 0.000
```

Calculated values
Its space group is P4/mmm, No. 123. The total magnetization is 0.0 μB per formula unit. For the formation energy from the elements, the calculation gives -0.212 eV per atom.

Compound: Ba2Sb2Cl
Source: Alexandria via LeMat-Bulk
Functional: PBE-GGA
Structure: optimized geometry

Structure (extended XYZ):
```
10
Lattice="8.723 0.000 0.000 0.000 8.723 0.000 0.000 0.000 5.180" Properties=species:S:1:pos:R:3 pbc="T T T"
Ba 1.573 2.788 0.000
Ba 2.788 7.150 0.000
Ba 5.935 1.573 0.000
Ba 7.150 5.935 0.000
Sb 0.984 5.346 2.590
Sb 3.377 0.984 2.590
Sb 5.346 7.739 2.590
Sb 7.739 3.377 2.590
Cl 0.000 0.000 0.000
Cl 4.361 4.361 0.000
```

Calculated values
The uncorrected formation energy comes out at -1.264 eV/atom. Its space group is P4/mbm, No. 127. The total magnetization is 0.0 μB per formula unit.

Compound: K2Al
Source: Alexandria via LeMat-Bulk
Functional: PBE-GGA
Structure: optimized geometry

Structure (extended XYZ):
```
6
Lattice="8.758 -4.071 0.000 8.758 4.071 0.000 0.000 0.000 4.677" Properties=species:S:1:pos:R:3 pbc="T T T"
K 6.445 2.089 3.508
K 11.071 2.089 3.508
K 6.445 -2.089 1.169
K 11.071 -2.089 1.169
Al 8.758 0.558 1.169
Al 8.758 -0.558 3.508
```

Calculated values
Its space group is Cmcm, No. 63. The total magnetization is 0.0 μB per formula unit. For the formation energy from the elements, the calculation gives 0.182 eV per atom.

Compound: Tb3TmPu2Te6
Source: Alexandria via LeMat-Bulk
Functional: PBE-GGA
Structure: optimized geometry

Structure (extended XYZ):
```
12
Lattice="9.558 -2.179 0.000 9.558 2.179 0.000 -2.079 0.000 8.546" Properties=species:S:1:pos:R:3 pbc="T T T"
Tb 0.000 0.000 0.000
Tb 4.936 0.000 5.688
Tb 12.101 0.000 2.858
Tm -1.040 0.000 4.273
Pu 6.038 0.000 1.426
Pu 10.999 0.000 7.120
Te 1.928 0.000 4.951
Te 2.997 0.000 0.727
Te 7.964 0.000 6.364
Te 9.073 0.000 2.182
Te 14.040 0.000 7.820
Te 15.109 0.000 3.595
```

Calculated values
The uncorrected formation energy comes out at -1.237 eV/atom. Its space group is C2/m, No. 12. The total magnetization is 12.0 μB per formula unit.

no.,mass density (kg/m³)
1,8397
2,4665
3,1047
4,8859